No. 1
Crystalline BaY2TiSb at its relaxed geometry, computed with PBE-GGA.

a = 5.900 Å, b = 5.317 Å, c = 5.900 Å
α = 90.00°, β = 90.00°, γ = 90.00°
Last column: magnetic moment on the atom in μB.
Fractional coordinates of all 5 atoms:
Y (0.500, 0.000, 0.000)  0.10
Sb (0.000, 0.000, 0.000)  -0.03
Ba (0.500, 0.500, 0.500)  0.05
Y (0.000, 0.000, 0.500)  0.15
Ti (0.000, 0.500, 0.000)  1.55

Properties
**Density of states at the Fermi level**: 7.39 states/eV/f.u.

No. 2
Crystalline Ba2Tl2Sb at its relaxed geometry, computed with PBE-GGA.

a = 4.410 Å, b = 4.410 Å, c = 10.876 Å
α = 78.30°, β = 78.30°, γ = 90.00°
Fractional coordinates of all 5 atoms:
Tl (0.250, 0.750, 0.500)
Tl (0.750, 0.250, 0.500)
Ba (0.589, 0.589, 0.823)
Sb (0.000, 0.000, 0.000)
Ba (0.411, 0.411, 0.177)

Properties
**Density of states at the Fermi level**: 4.43 states/eV/f.u.
**Polymorph energy (0 for the lowest one)**: 0.000 eV per atom

No. 3
Crystalline BaTlSb at its relaxed geometry, computed with PBE-GGA.

a = 4.979 Å, b = 4.979 Å, c = 5.317 Å
α = 90.00°, β = 90.00°, γ = 120.00°
Fractional coordinates of all 3 atoms:
Sb (0.333, 0.667, 0.216)
Ba (0.000, 0.000, 0.591)
Tl (0.667, 0.333, 0.977)

Properties
**Polymorph energy (0 for the lowest one)**: 0.013 eV per atom

No. 4
Crystalline BaTlSb at its relaxed geometry, computed with PBE-GGA.

a = 4.960 Å, b = 13.664 Å, c = 7.060 Å
α = 90.00°, β = 90.00°, γ = 90.00°
Fractional coordinates of all 12 atoms:
Tl (0.500, 0.970, 0.750)
Tl (0.000, 0.470, 0.750)
Ba (0.500, 0.340, 0.250)
Ba (0.500, 0.660, 0.750)
Tl (0.500, 0.030, 0.250)
Sb (0.000, 0.841, 0.750)
Sb (0.500, 0.341, 0.750)
Ba (0.000, 0.160, 0.750)
Sb (0.500, 0.659, 0.250)
Tl (0.000, 0.530, 0.250)
Sb (0.000, 0.159, 0.250)
Ba (0.000, 0.840, 0.250)

Properties
**Density of states at the Fermi level**: 1.07 states/eV/f.u.
**Polymorph energy (0 for the lowest one)**: 0.038 eV per atom

No. 5
Crystalline Ba3Tl2Sb4 at its relaxed geometry, computed with PBE-GGA.

a = 5.023 Å, b = 8.044 Å, c = 9.253 Å
α = 107.06°, β = 105.74°, γ = 89.99°
Fractional coordinates of all 9 atoms:
Sb (0.495, 0.317, 0.991)
Sb (0.787, 0.779, 0.574)
Sb (0.505, 0.683, 0.009)
Ba (0.863, 0.418, 0.725)
Tl (0.665, 0.989, 0.330)
Ba (0.137, 0.582, 0.275)
Ba (0.000, 0.000, 0.000)
Sb (0.213, 0.221, 0.426)
Tl (0.335, 0.011, 0.670)

Properties
**Density of states at the Fermi level**: 3.96 states/eV/f.u.
**Polymorph energy (0 for the lowest one)**: 0.000 eV per atom

No. 6
Crystalline Ba2Tl2Sb3 at its relaxed geometry, computed with PBE-GGA.

a = 5.066 Å, b = 9.256 Å, c = 12.024 Å
α = 86.94°, β = 77.84°, γ = 74.12°
Fractional coordinates of all 14 atoms:
Sb (0.919, 0.044, 0.118)
Ba (0.601, 0.748, 0.051)
Tl (0.593, 0.477, 0.337)
Sb (0.379, 0.771, 0.471)
Sb (0.081, 0.956, 0.882)
Tl (0.941, 0.802, 0.316)
Sb (0.621, 0.229, 0.529)
Sb (0.157, 0.502, 0.184)
Ba (0.265, 0.141, 0.329)
Sb (0.843, 0.498, 0.816)
Ba (0.399, 0.252, 0.949)
Tl (0.059, 0.198, 0.684)
Ba (0.735, 0.859, 0.671)
Tl (0.407, 0.523, 0.663)

Properties
**Density of states at the Fermi level**: 1.62 states/eV/f.u.

No. 7
Crystalline Ba5Tl2Sb at its relaxed geometry, computed with PBE-GGA.

a = 9.063 Å, b = 9.063 Å, c = 10.694 Å
α = 115.07°, β = 115.07°, γ = 90.00°
Fractional coordinates of all 16 atoms:
Ba (0.180, 0.023, 0.702)
Ba (0.320, 0.820, 0.298)
Tl (0.122, 0.378, 0.000)
Tl (0.378, 0.878, 0.000)
Ba (0.977, 0.477, 0.298)
Ba (0.000, 0.000, 0.000)
Sb (0.750, 0.750, 0.500)
Ba (0.023, 0.523, 0.702)
Tl (0.622, 0.122, 0.000)
Ba (0.680, 0.180, 0.702)
Tl (0.878, 0.622, 0.000)
Ba (0.523, 0.680, 0.702)
Sb (0.250, 0.250, 0.500)
Ba (0.820, 0.977, 0.298)
Ba (0.500, 0.500, 0.000)
Ba (0.477, 0.320, 0.298)

Properties
**Density of states at the Fermi level**: 10.25 states/eV/f.u.

No. 8
Crystalline BaTl6Sb2 at its relaxed geometry, computed with PBE-GGA.

a = 4.845 Å, b = 4.845 Å, c = 12.903 Å
α = 90.00°, β = 90.00°, γ = 90.00°
Fractional coordinates of all 9 atoms:
Tl (0.000, 0.500, 0.713)
Ba (0.000, 0.000, 0.000)
Tl (0.000, 0.500, 0.287)
Tl (0.500, 0.000, 0.287)
Sb (0.500, 0.500, 0.887)
Tl (0.000, 0.000, 0.500)
Sb (0.500, 0.500, 0.113)
Tl (0.500, 0.500, 0.500)
Tl (0.500, 0.000, 0.713)

Properties
**Density of states at the Fermi level**: 5.66 states/eV/f.u.

No. 9
Crystalline Ba2TlSb at its relaxed geometry, computed with PBE-GGA.

a = 5.075 Å, b = 5.075 Å, c = 7.125 Å
α = 90.00°, β = 90.00°, γ = 90.00°
Last column: magnetic moment on the atom in μB.
Fractional coordinates of all 4 atoms:
Tl (0.500, 0.500, 0.872)  0.15
Ba (0.500, 0.500, 0.374)  0.08
Ba (0.000, 0.000, 0.877)  0.05
Sb (0.000, 0.000, 0.377)  0.02

Properties
**Density of states at the Fermi level**: 5.57 states/eV/f.u.
**Polymorph energy (0 for the lowest one)**: 0.258 eV per atom

No. 10
Crystalline BaTl2Sb2 at its relaxed geometry, computed with PBE-GGA.

a = 8.861 Å, b = 8.861 Å, c = 4.589 Å
α = 90.00°, β = 90.00°, γ = 90.00°
Fractional coordinates of all 10 atoms:
Tl (0.660, 0.840, 0.500)
Tl (0.160, 0.660, 0.500)
Sb (0.614, 0.114, 0.000)
Ba (0.000, 0.000, 0.000)
Tl (0.840, 0.340, 0.500)
Sb (0.886, 0.614, 0.000)
Sb (0.386, 0.886, 0.000)
Sb (0.114, 0.386, 0.000)
Tl (0.340, 0.160, 0.500)
Ba (0.500, 0.500, 0.000)

Properties
**Density of states at the Fermi level**: 1.52 states/eV/f.u.

No. 11
Crystalline BaTlSb3 at its relaxed geometry, computed with PBE-GGA.

a = 6.308 Å, b = 6.308 Å, c = 6.308 Å
α = 90.00°, β = 90.00°, γ = 90.00°
Fractional coordinates of all 5 atoms:
Sb (0.000, 0.500, 0.000)
Sb (0.000, 0.000, 0.500)
Ba (0.000, 0.000, 0.000)
Tl (0.500, 0.500, 0.500)
Sb (0.500, 0.000, 0.000)

Properties
**Density of states at the Fermi level**: 4.40 states/eV/f.u.
**Polymorph energy (0 for the lowest one)**: 0.546 eV per atom

No. 12
Crystalline BaTlSb at its relaxed geometry, computed with PBE-GGA.

a = 5.649 Å, b = 5.649 Å, c = 5.649 Å
α = 60.00°, β = 60.00°, γ = 60.00°
Fractional coordinates of all 3 atoms:
Tl (0.500, 0.500, 0.500)
Ba (0.750, 0.750, 0.750)
Sb (0.000, 0.000, 0.000)

Properties
**Polymorph energy (0 for the lowest one)**: 0.314 eV per atom

No. 13
Crystalline BaTlSb3 at its relaxed geometry, computed with PBE-GGA.

a = 5.774 Å, b = 5.774 Å, c = 5.774 Å
α = 90.00°, β = 90.00°, γ = 90.00°
Fractional coordinates of all 5 atoms:
Ba (0.500, 0.500, 0.500)
Sb (0.000, 0.500, 0.000)
Sb (0.000, 0.000, 0.500)
Sb (0.500, 0.000, 0.000)
Tl (0.000, 0.000, 0.000)

Properties
**Density of states at the Fermi level**: 7.15 states/eV/f.u.
**Polymorph energy (0 for the lowest one)**: 0.000 eV per atom

No. 14
Crystalline BaTlSb at its relaxed geometry, computed with PBE-GGA.

a = 6.009 Å, b = 6.009 Å, c = 6.009 Å
α = 132.69°, β = 132.72°, γ = 69.12°
Fractional coordinates of all 3 atoms:
Sb (0.346, 0.346, 0.000)
Ba (0.992, 0.992, 0.000)
Tl (0.662, 0.662, 0.000)

Properties
**Density of states at the Fermi level**: 0.55 states/eV/f.u.
**Polymorph energy (0 for the lowest one)**: 0.172 eV per atom

No. 15
Crystalline BaTlSb at its relaxed geometry, computed with PBE-GGA.

a = 4.983 Å, b = 4.983 Å, c = 11.154 Å
α = 90.00°, β = 90.00°, γ = 120.00°
Fractional coordinates of all 6 atoms:
Sb (0.333, 0.667, 0.233)
Ba (0.333, 0.667, 0.562)
Tl (0.000, 0.000, 0.355)
Sb (0.667, 0.333, 0.733)
Tl (0.000, 0.000, 0.855)
Ba (0.667, 0.333, 0.062)

Properties
**Polymorph energy (0 for the lowest one)**: 0.000 eV per atom

No. 16
Crystalline BaTl3Sb3 at its relaxed geometry, computed with PBE-GGA.

a = 8.368 Å, b = 8.368 Å, c = 8.368 Å
α = 90.00°, β = 90.00°, γ = 90.00°
Fractional coordinates of all 14 atoms:
Sb (0.000, 0.500, 0.750)
Tl (0.500, 0.000, 0.250)
Tl (0.500, 0.000, 0.750)
Sb (0.500, 0.250, 0.000)
Tl (0.000, 0.250, 0.500)
Tl (0.000, 0.750, 0.500)
Sb (0.250, 0.000, 0.500)
Sb (0.500, 0.750, 0.000)
Ba (0.000, 0.000, 0.000)
Sb (0.750, 0.000, 0.500)
Tl (0.750, 0.500, 0.000)
Sb (0.000, 0.500, 0.250)
Tl (0.250, 0.500, 0.000)
Ba (0.500, 0.500, 0.500)

Properties
**Density of states at the Fermi level**: 4.83 states/eV/f.u.
**Polymorph energy (0 for the lowest one)**: 0.273 eV per atom

No. 17
Crystalline Ba2TlSb at its relaxed geometry, computed with PBE-GGA.

a = 6.999 Å, b = 6.999 Å, c = 6.999 Å
α = 137.58°, β = 137.58°, γ = 61.55°
Fractional coordinates of all 4 atoms:
Ba (0.250, 0.750, 0.500)
Ba (0.000, 0.000, 0.000)
Tl (0.750, 0.250, 0.500)
Sb (0.500, 0.500, 0.000)

Properties
**Density of states at the Fermi level**: 2.77 states/eV/f.u.
**Polymorph energy (0 for the lowest one)**: 0.129 eV per atom

No. 18
Crystalline BaTl3Sb3 at its relaxed geometry, computed with PBE-GGA.

a = 6.738 Å, b = 6.738 Å, c = 12.936 Å
α = 74.90°, β = 74.90°, γ = 60.00°
Fractional coordinates of all 14 atoms:
Sb (0.751, 0.197, 0.823)
Sb (0.197, 0.228, 0.823)
Tl (0.734, 0.541, 0.611)
Tl (0.266, 0.459, 0.389)
Tl (0.114, 0.734, 0.611)
Tl (0.541, 0.114, 0.611)
Tl (0.886, 0.266, 0.389)
Sb (0.228, 0.751, 0.823)
Sb (0.249, 0.803, 0.177)
Ba (0.308, 0.308, 0.075)
Ba (0.692, 0.692, 0.925)
Sb (0.803, 0.772, 0.177)
Sb (0.772, 0.249, 0.177)
Tl (0.459, 0.886, 0.389)

Properties
**Density of states at the Fermi level**: 2.56 states/eV/f.u.
**Polymorph energy (0 for the lowest one)**: 0.000 eV per atom

No. 19
Crystalline BaTl2Sb2 at its relaxed geometry, computed with PBE-GGA.

a = 8.968 Å, b = 8.968 Å, c = 4.087 Å
α = 90.00°, β = 90.00°, γ = 90.00°
Fractional coordinates of all 10 atoms:
Tl (0.124, 0.376, 0.000)
Sb (0.170, 0.670, 0.500)
Tl (0.876, 0.624, 0.000)
Ba (0.000, 0.000, 0.000)
Tl (0.624, 0.124, 0.000)
Sb (0.830, 0.330, 0.500)
Sb (0.330, 0.170, 0.500)
Sb (0.670, 0.830, 0.500)
Ba (0.500, 0.500, 0.000)
Tl (0.376, 0.876, 0.000)

Properties
**Density of states at the Fermi level**: 3.54 states/eV/f.u.

No. 20
Crystalline Ba3Tl6Sb5 at its relaxed geometry, computed with PBE-GGA.

a = 4.754 Å, b = 12.473 Å, c = 16.613 Å
α = 90.00°, β = 90.00°, γ = 90.00°
Fractional coordinates of all 28 atoms:
Tl (0.000, 0.372, 0.500)
Tl (0.500, 0.990, 0.660)
Ba (0.500, 0.693, 0.500)
Sb (0.000, 0.836, 0.000)
Ba (0.500, 0.771, 0.187)
Tl (0.500, 0.426, 0.814)
Sb (0.000, 0.813, 0.642)
Sb (0.000, 0.813, 0.358)
Ba (0.000, 0.229, 0.687)
Sb (0.000, 0.561, 0.879)
Tl (0.500, 0.426, 0.186)
Sb (0.500, 0.187, 0.858)
Sb (0.000, 0.561, 0.121)
Tl (0.000, 0.010, 0.840)
Tl (0.500, 0.990, 0.340)
Sb (0.500, 0.187, 0.142)
Sb (0.500, 0.439, 0.379)
Sb (0.500, 0.439, 0.621)
Ba (0.000, 0.307, 0.000)
Ba (0.500, 0.771, 0.813)
Tl (0.500, 0.008, 0.000)
Tl (0.000, 0.574, 0.314)
Tl (0.000, 0.010, 0.160)
Ba (0.000, 0.229, 0.313)
Tl (0.000, 0.574, 0.686)
Tl (0.000, 0.992, 0.500)
Sb (0.500, 0.164, 0.500)
Tl (0.500, 0.628, 0.000)

Properties
**Density of states at the Fermi level**: 4.85 states/eV/f.u.

| no. | electronic total energy (eV/atom) |
| --- | --- |
| 1 | -5.182 |
| 2 | -3.040 |
| 3 | -3.459 |
| 4 | -3.434 |
| 5 | -3.665 |
| 6 | -3.559 |
| 7 | -2.833 |
| 8 | -2.925 |
| 9 | -3.018 |
| 10 | -3.286 |
| 11 | -2.661 |
| 12 | -3.158 |
| 13 | -3.207 |
| 14 | -3.300 |
| 15 | -3.472 |
| 16 | -3.000 |
| 17 | -3.147 |
| 18 | -3.273 |
| 19 | -3.247 |
| 20 | -3.298 |